1.
The following is a GGA-PBE calculation of a relaxed structure of KTi2ZnCo, from the Alexandria database. Values from VASP.

```
&SYSTEM
  ibrav = 0, nat = 5, ntyp = 4
/
ATOMIC_SPECIES
Zn 65.41 Zn.upf
K 39.10 K.upf
Ti 47.87 Ti.upf
Co 58.93 Co.upf
CELL_PARAMETERS angstrom
-0.184 -3.436 2.901
4.661 -2.624 -2.812
2.859 2.151 2.731
ATOMIC_POSITIONS angstrom
Zn 3.668 -1.955 1.409
K 2.331 -1.312 -1.406
Ti -0.092 -1.718 1.450
Co 0.000 0.000 0.000
Ti 1.429 1.076 1.365
```

Output
As for the electronic total energy: -21.3 eV per cell. The calculation puts the energy of formation from the pure elements at 0.79 eV per atom. The space group is No. 123. As for the crystal system: tetragonal.

***

2.
The following is a GGA-PBE calculation of a relaxed structure of K2Tl2Co, from the Alexandria database. Values from VASP.

```
&SYSTEM
  ibrav = 0, nat = 10, ntyp = 3
/
ATOMIC_SPECIES
Co 58.93 Co.upf
Tl 204.38 Tl.upf
K 39.10 K.upf
CELL_PARAMETERS angstrom
-4.730 -5.272 1.176
4.446 -2.913 4.827
-2.631 3.352 4.446
ATOMIC_POSITIONS angstrom
Co 0.000 0.000 0.000
Tl -2.416 -4.110 1.669
K -0.822 -4.281 7.006
K -2.093 -0.552 3.443
K 0.859 -1.197 5.675
Co -0.142 -4.093 3.001
Tl -0.854 -6.304 4.246
Tl 2.132 -4.075 4.333
K -3.773 -3.636 4.774
Tl 0.571 -1.881 1.756
```

Output
As for the electronic total energy: -25.1 eV per cell. The calculation puts the energy of formation from the pure elements at 0.30 eV per atom. The space group is No. 127. As for the crystal system: tetragonal.